# 1
Density functional theory data (PBE) for an optimized crystal structure of MnBOs3.

Geometry as POSCAR:
```
MnBOs3
1.0
4.061 0.000 0.000
0.000 4.061 0.000
0.000 0.000 4.061
Mn B Os
1 1 3
Direct
0.000 0.000 0.000
0.500 0.500 0.500
0.000 0.500 0.500
0.500 0.000 0.500
0.500 0.500 0.000
```

Results
The energy of formation from the pure elements comes out at 0.288 eV/atom. As for the crystal system: cubic. The value obtained for the total moment is 2.467 μB/f.u. As for the density of states at the Fermi level: 0.712 states/eV/atom.

# 2
Density functional theory data (PBE) for an optimized crystal structure of MnB2Os2.

Geometry as POSCAR:
```
MnB2Os2
1.0
6.088 0.000 0.000
0.000 6.088 0.000
0.000 0.000 2.784
Mn B Os
2 4 4
Direct
0.000 0.000 0.000
0.500 0.500 0.000
0.144 0.356 0.000
0.356 0.856 0.000
0.644 0.144 0.000
0.856 0.644 0.000
0.156 0.656 0.500
0.344 0.156 0.500
0.656 0.844 0.500
0.844 0.344 0.500
```

Results
The energy of formation from the pure elements comes out at 0.079 eV/atom. As for the crystal system: tetragonal. The value obtained for the total moment is 0.000 μB/f.u. As for the density of states at the Fermi level: 1.197 states/eV/atom.

# 3
Density functional theory data (PBE) for an optimized crystal structure of MnB2Os.

Geometry as POSCAR:
```
MnB2Os
1.0
5.270 0.000 0.000
0.000 5.270 0.000
0.000 0.000 5.270
Mn B Os
4 8 4
Direct
0.000 0.000 0.000
0.000 0.500 0.500
0.500 0.000 0.500
0.500 0.500 0.000
0.250 0.250 0.250
0.250 0.250 0.750
0.250 0.750 0.250
0.250 0.750 0.750
0.750 0.250 0.250
0.750 0.250 0.750
0.750 0.750 0.250
0.750 0.750 0.750
0.000 0.000 0.500
0.000 0.500 0.000
0.500 0.000 0.000
0.500 0.500 0.500
```

Results
The energy of formation from the pure elements comes out at 0.144 eV/atom. As for the crystal system: cubic. The value obtained for the total moment is 0.009 μB/f.u. As for the density of states at the Fermi level: 0.914 states/eV/atom.

Look up the total moment of the second one.
0.000 μB/f.u.